(1)
A plane-wave DFT calculation with GGA-PBEsol was carried out for CrMoNF2 after structural relaxation.

abc: 3.8449 3.8449 3.9685
angles: 90.00 90.00 90.00
Space group P4/mmm (No. 123)
Asymmetric unit:
Cr1 0.0000 0.0000 0.0000
Mo1 0.5000 0.5000 0.5000
N1 0.0000 0.0000 0.5000
F1 0.0000 0.5000 0.0000

For the uncorrected formation energy, the calculation gives -0.35 eV/atom. As for the energy above the most stable polymorph in this dataset: 20.2 kJ per mole of atoms. For the density of states at the Fermi level, the calculation gives 0.352 states/eV/atom. The total magnetization is 7.0 μB/cell. The calculation puts the theoretical density at 5.66 g/cm³. The value obtained for the electronic total energy is -7.2238 eV per atom.

(2)
A plane-wave DFT calculation with GGA-PBEsol was carried out for In2SiNi after structural relaxation.

abc: 4.1794 4.1794 7.9864
angles: 90.00 90.00 90.00
Space group I4/mmm (No. 139)
Asymmetric unit:
In1 0.0000 0.5000 0.2500
Si1 0.0000 0.0000 0.0000
Ni1 0.0000 0.0000 0.5000

For the uncorrected formation energy, the calculation gives 0.29 eV/atom. For the density of states at the Fermi level, the calculation gives 0.606 states/eV/atom. The total magnetization is 0.0 μB/cell. The calculation puts the theoretical density at 7.53 g/cm³. The value obtained for the electronic total energy is -4.1782 eV per atom.

(3)
A plane-wave DFT calculation with GGA-PBEsol was carried out for CoTeOs2 after structural relaxation.

abc: 2.9618 4.2492 9.6875
angles: 90.00 90.00 90.00
Space group Immm (No. 71)
Asymmetric unit:
Co1 0.0000 0.0000 0.0000
Te1 0.0000 0.0000 0.5000
Os1 0.0000 0.5000 0.2196

For the uncorrected formation energy, the calculation gives 0.79 eV/atom. For the density of states at the Fermi level, the calculation gives 1.069 states/eV/atom. The total magnetization is 2.2 μB/cell. The calculation puts the theoretical density at 15.45 g/cm³. The value obtained for the electronic total energy is -8.1314 eV per atom.

(4)
A plane-wave DFT calculation with GGA-PBEsol was carried out for Cs2RbTlCl6 after structural relaxation.

abc: 11.2017 11.2017 11.2017
angles: 90.00 90.00 90.00
Space group Fm-3m (No. 225)
Asymmetric unit:
Cs1 0.2500 0.2500 0.2500
Rb1 0.0000 0.0000 0.0000
Tl1 0.0000 0.0000 0.5000
Cl1 0.0000 0.0000 0.2701

For the uncorrected formation energy, the calculation gives -1.48 eV/atom. For the density of states at the Fermi level, the calculation gives 0.000 states/eV/atom. The total magnetization is 0.0 μB/cell. The calculation puts the theoretical density at 3.63 g/cm³. The value obtained for the electronic total energy is -3.2352 eV per atom.

(5)
A plane-wave DFT calculation with GGA-PBEsol was carried out for ZrScAu2 after structural relaxation.

abc: 6.7344 6.7344 6.7344
angles: 90.00 90.00 90.00
Space group Fm-3m (No. 225)
Asymmetric unit:
Zr1 0.0000 0.0000 0.0000
Sc1 0.0000 0.0000 0.5000
Au1 0.2500 0.2500 0.2500

As for the energy above the most stable polymorph in this dataset: 3.0 kJ per mole of atoms. For the density of states at the Fermi level, the calculation gives 1.019 states/eV/atom. For the formation energy, the calculation gives -2.6 eV per formula unit. The total magnetization is 0.0 μB/cell. The calculation puts the theoretical density at 11.53 g/cm³. The value obtained for the electronic total energy is -6.5333 eV per atom.

(6)
A plane-wave DFT calculation with GGA-PBEsol was carried out for La2TaBe after structural relaxation.

abc: 3.3875 3.3875 8.2422
angles: 90.00 90.00 90.00
Space group P4mm (No. 99)
Asymmetric unit:
La1 0.0000 0.0000 0.0000
La2 0.5000 0.5000 0.3993
Ta1 0.0000 0.0000 0.6612
Be1 0.5000 0.5000 0.7627

For the density of states at the Fermi level, the calculation gives 0.904 states/eV/atom. For the formation energy, the calculation gives 1.1 eV per formula unit. The total magnetization is 0.0 μB/cell. The calculation puts the theoretical density at 8.21 g/cm³. The value obtained for the electronic total energy is -6.5388 eV per atom.

(7)
A plane-wave DFT calculation with GGA-PBEsol was carried out for Te2IrNO after structural relaxation.

abc: 4.5825 4.5825 3.6886
angles: 90.00 90.00 90.00
Space group P4/mmm (No. 123)
Asymmetric unit:
Te1 0.0000 0.5000 0.0000
Ir1 0.0000 0.0000 0.5000
N1 0.5000 0.5000 0.5000
O1 0.5000 0.5000 0.0000

For the uncorrected formation energy, the calculation gives 1.16 eV/atom. For the density of states at the Fermi level, the calculation gives 0.564 states/eV/atom. The total magnetization is 1.5 μB/cell. The calculation puts the theoretical density at 10.23 g/cm³. The value obtained for the electronic total energy is -4.9747 eV per atom.

(8)
A plane-wave DFT calculation with GGA-PBEsol was carried out for ReBPd2 after structural relaxation.

abc: 3.4417 3.4417 18.1770
angles: 90.00 90.00 90.00
Space group I-42d (No. 122)
Asymmetric unit:
Re1 0.0000 0.0000 0.0000
B1 0.0000 0.0000 0.5000
Pd1 0.2446 0.2500 0.6250

For the density of states at the Fermi level, the calculation gives 0.889 states/eV/atom. For the formation energy, the calculation gives 3.1 eV per formula unit. The total magnetization is 0.0 μB/cell. The calculation puts the theoretical density at 12.64 g/cm³. The value obtained for the electronic total energy is -7.3024 eV per atom.